1.
Entry from the Alexandria database: an optimized crystal structure of Tb6Ho5Th2 (GGA-PBE).

Computed properties:
The calculation puts the formation energy at 0.11 eV/atom. Its density of states at the Fermi level is 17.75 states/eV/f.u. The value obtained for the total energy is -4.93 eV/atom.

extended XYZ file:
```
26
Lattice="-2.126 2.792 -0.609 -7.523 -6.886 -5.315 -9.551 -3.372 17.888" Properties=species:S:1:pos:R:3 pbc="T T T"
Tb -3.884 -1.651 5.990
Tb -13.191 -8.608 6.582
Tb -5.649 -4.389 -0.407
Tb -11.426 -5.870 12.979
Tb -4.618 -1.195 0.225
Tb -14.583 -6.272 11.739
Tb -10.797 -5.492 2.095
Tb -8.403 -1.975 9.869
Tb -8.500 -5.441 4.725
Tb -8.575 -4.818 7.847
Tb -1.193 -0.746 0.744
Tb -15.881 -9.512 11.828
Ho -7.440 -2.164 5.638
Ho -11.760 -5.303 6.326
Ho -7.876 -4.433 -3.248
Ho -11.324 -3.034 15.212
Ho -8.145 -3.522 1.869
Ho -11.056 -3.945 10.095
Ho -3.594 0.200 3.049
Ho -15.606 -7.667 8.915
Ho -4.824 -2.047 -2.962
Ho -5.839 -0.290 8.640
Th -4.920 -3.066 3.119
Th -12.155 -7.193 9.454
Th -8.344 -6.390 -0.172
Th -8.731 -3.869 12.744
```

---

2.
Entry from the Alexandria database: an optimized crystal structure of LiRe2Ir (GGA-PBE).

Computed properties:
The calculation puts the formation energy at 0.05 eV/atom. Its density of states at the Fermi level is 1.96 states/eV/f.u. The value obtained for the total energy is -8.87 eV/atom.

extended XYZ file:
```
4
Lattice="-1.670 -3.130 3.585 2.936 -0.781 4.026 -2.428 3.483 -2.722" Properties=species:S:1:pos:R:3 pbc="T T T"
Ir -1.732 -0.801 2.334
Li 0.570 0.373 2.555
Re 0.006 -0.018 0.034
Re 0.627 -1.938 3.771
```